# U2Ni15Au2

A relaxed U2Ni15Au2 crystal (PBE, Alexandria).

a = 8.3483 Å, b = 8.3483 Å, c = 12.3963 Å
α = 90.00°, β = 90.00°, γ = 120.00°
Last column: nearest neighbours and their distance in Å.
Space group R-3m (No. 166, hexagonal axes)
Unique sites:
U 0.0000 0.0000 0.1048  6 Ni 2.53-2.60, 1 U 2.60
Ni 0.0000 0.3243 0.0000  8 Ni 2.47-2.71
Ni 0.0000 0.5000 0.5000  8 Ni 2.44-2.47, 2 U 2.53
Ni 0.0076 0.5038 0.1620  8 Ni 2.36-2.52, 1 U 2.60
Au 0.0000 0.0000 0.3626  12 Ni 2.84-2.94

For the magnetic moment, the calculation gives 13.41 μB/cell.

***

# UNi2Au

A relaxed UNi2Au crystal (PBE, Alexandria).

a = 3.0697 Å, b = 3.0697 Å, c = 6.6427 Å
α = 90.00°, β = 90.00°, γ = 90.00°
Last column: nearest neighbours and their distance in Å.
Space group P4/mmm (No. 123)
Unique sites:
U 0.0000 0.0000 0.0000  8 Ni 2.77, 4 U 3.07
Ni 0.5000 0.5000 0.2590  4 Au 2.70, 4 U 2.77
Au 0.0000 0.0000 0.5000  8 Ni 2.70

For the magnetic moment, the calculation gives 0.48 μB/cell.

***

Number 1: DFT formation energy 0.002 eV/atom. Number 2: DFT formation energy -0.087 eV/atom.